Entry 1:
The following is a DFT calculation (GGA-PBE) of a geometry-optimized ScCuBN structure.

Summary:
Energy relative to the elements, uncorrected, meV/atom: -618.6
Size of the total moment, μB/atom: 0.00
Density, g/cm³: 4.74
Symmetry: No. 38

Cell and atoms, written as POSCAR:
```
ScCuBN
1.0
-1.039 -2.370 1.789
2.978 -1.333 -0.036
2.192 4.693 7.491
Sc B Cu N
2 2 2 2
Direct
0.000 0.000 0.043
0.000 0.500 0.543
0.500 0.000 0.405
0.500 0.500 0.905
0.500 0.000 0.774
0.500 0.500 0.274
0.500 0.000 0.562
0.500 0.500 0.062
```

Entry 2:
The following is a DFT calculation (GGA-PBE) of a geometry-optimized CuBTeN2 structure.

Summary:
Distance to the lowest polymorph of the same formula, meV per atom: 0
Energy relative to the elements, uncorrected, meV/atom: 1372.0
Size of the total moment, μB/atom: 0.00
Density, g/cm³: 4.66
Symmetry: No. 123

Cell and atoms, written as POSCAR:
```
CuBTeN2
1.0
3.340 0.000 0.000
0.000 3.340 0.000
0.000 0.000 7.346
B Te Cu N
1 1 1 2
Direct
0.000 0.000 0.000
0.000 0.000 0.500
0.500 0.500 0.500
0.000 0.500 0.000
0.500 0.000 0.000
```

Entry 3:
The following is a DFT calculation (GGA-PBE) of a geometry-optimized CuBTeN2 structure.

Summary:
Distance to the lowest polymorph of the same formula, meV per atom: 591
Energy relative to the elements, uncorrected, meV/atom: 1962.7
Size of the total moment, μB/atom: 0.52
Density, g/cm³: 4.34
Symmetry: No. 123

Cell and atoms, written as POSCAR:
```
CuBTeN2
1.0
3.581 0.000 0.000
0.000 3.581 0.000
0.000 0.000 6.857
B Te Cu N
1 1 1 2
Direct
0.500 0.500 0.500
0.000 0.000 0.500
0.000 0.000 0.000
0.000 0.500 0.000
0.500 0.000 0.000
```

Entry 4:
The following is a DFT calculation (GGA-PBE) of a geometry-optimized Ti2CuBN structure.

Summary:
Energy relative to the elements, uncorrected, meV/atom: -300.0
Size of the total moment, μB/atom: 0.00
Density, g/cm³: 5.54
Symmetry: No. 123

Cell and atoms, written as POSCAR:
```
Ti2CuBN
1.0
4.314 0.000 0.000
0.000 2.967 0.000
0.000 0.000 4.314
B N Cu Ti
1 1 1 2
Direct
0.000 0.500 0.000
0.000 0.000 0.000
0.500 0.500 0.500
0.000 0.000 0.500
0.500 0.000 0.000
```

Entry 5:
The following is a DFT calculation (GGA-PBE) of a geometry-optimized NaCuB3 structure.

Summary:
Distance to the lowest polymorph of the same formula, meV per atom: 1539
ΔE_f, eV per atom: 2.967
Size of the total moment, μB/atom: 0.00
Density, g/cm³: 2.45
Symmetry: No. 221

Cell and atoms, written as POSCAR:
```
NaCuB3
1.0
4.321 0.000 0.000
0.000 4.321 0.000
0.000 0.000 4.321
Na B Cu
1 3 1
Direct
0.000 0.000 0.000
0.000 0.500 0.000
0.000 0.000 0.500
0.500 0.000 0.000
0.500 0.500 0.500
```

Entry 6:
The following is a DFT calculation (GGA-PBE) of a geometry-optimized Na2CuB2 structure.

Summary:
Distance to the lowest polymorph of the same formula, meV per atom: 0
ΔE_f, eV per atom: 0.588
Size of the total moment, μB/atom: 0.00
Density, g/cm³: 3.18
Symmetry: No. 127

Cell and atoms, written as POSCAR:
```
Na2CuB2
1.0
5.508 0.000 0.000
0.000 5.508 0.000
0.000 0.000 4.514
Na B Cu
4 4 2
Direct
0.186 0.686 0.500
0.686 0.814 0.500
0.814 0.314 0.500
0.314 0.186 0.500
0.396 0.896 0.000
0.896 0.604 0.000
0.604 0.104 0.000
0.104 0.396 0.000
0.000 0.000 0.000
0.500 0.500 0.000
```

Entry 7:
The following is a DFT calculation (GGA-PBE) of a geometry-optimized NaCu2B structure.

Summary:
ΔE_f, eV per atom: 0.455
Size of the total moment, μB/atom: 0.00
Density, g/cm³: 3.68
Symmetry: No. 141

Cell and atoms, written as POSCAR:
```
NaCu2B
1.0
4.802 0.000 0.000
0.000 4.802 0.000
2.401 2.401 6.297
Na B Cu
2 2 4
Direct
0.000 0.000 0.000
0.750 0.250 0.500
0.500 0.500 0.000
0.250 0.750 0.500
0.375 0.125 0.250
0.375 0.625 0.250
0.375 0.625 0.750
0.875 0.625 0.750
```

Entry 8:
The following is a DFT calculation (GGA-PBE) of a geometry-optimized Na2CuB2 structure.

Summary:
Distance to the lowest polymorph of the same formula, meV per atom: 358
ΔE_f, eV per atom: 0.946
Size of the total moment, μB/atom: 0.00
Density, g/cm³: 2.94
Symmetry: No. 139

Cell and atoms, written as POSCAR:
```
Na2CuB2
1.0
3.675 0.000 0.000
0.000 3.675 0.000
1.837 1.837 5.494
Na B Cu
2 2 1
Direct
0.750 0.250 0.500
0.250 0.750 0.500
0.429 0.429 0.143
0.571 0.571 0.857
0.000 0.000 0.000
```

Entry 9:
The following is a DFT calculation (GGA-PBE) of a geometry-optimized NaCu2B2 structure.

Summary:
Distance to the lowest polymorph of the same formula, meV per atom: 0
ΔE_f, eV per atom: 0.633
Size of the total moment, μB/atom: 0.00
Density, g/cm³: 4.54
Symmetry: No. 139

Cell and atoms, written as POSCAR:
```
NaCu2B2
1.0
3.760 0.000 0.000
0.000 3.760 0.000
1.880 1.880 4.447
Na B Cu
1 2 2
Direct
0.000 0.000 0.000
0.750 0.250 0.500
0.250 0.750 0.500
0.344 0.344 0.312
0.656 0.656 0.688
```

Entry 10:
The following is a DFT calculation (GGA-PBE) of a geometry-optimized NaCuB2 structure.

Summary:
Distance to the lowest polymorph of the same formula, meV per atom: 725
ΔE_f, eV per atom: 1.267
Size of the total moment, μB/atom: 0.00
Density, g/cm³: 4.27
Symmetry: No. 225

Cell and atoms, written as POSCAR:
```
NaCuB2
1.0
0.000 2.761 2.761
2.761 0.000 2.761
2.761 2.761 0.000
Na B Cu
1 2 1
Direct
0.000 0.000 0.000
0.250 0.250 0.250
0.750 0.750 0.750
0.500 0.500 0.500
```

Entry 11:
The following is a DFT calculation (GGA-PBE) of a geometry-optimized NaCuB2 structure.

Summary:
Distance to the lowest polymorph of the same formula, meV per atom: 0
ΔE_f, eV per atom: 0.542
Size of the total moment, μB/atom: 0.00
Density, g/cm³: 3.70
Symmetry: No. 141

Cell and atoms, written as POSCAR:
```
NaCuB2
1.0
-0.032 -2.096 2.921
-1.581 -2.615 -1.894
5.935 -5.072 -1.362
Na B Cu
2 4 2
Direct
0.500 0.500 0.000
0.250 0.750 0.500
0.875 0.125 0.250
0.875 0.625 0.250
0.375 0.125 0.750
0.875 0.125 0.750
0.000 0.000 0.000
0.750 0.250 0.500
```

Entry 12:
The following is a DFT calculation (GGA-PBE) of a geometry-optimized NaCuB3 structure.

Summary:
Distance to the lowest polymorph of the same formula, meV per atom: 0
ΔE_f, eV per atom: 1.429
Size of the total moment, μB/atom: 0.00
Density, g/cm³: 3.34
Symmetry: No. 221

Cell and atoms, written as POSCAR:
```
NaCuB3
1.0
3.897 0.000 0.000
0.000 3.897 0.000
0.000 0.000 3.897
Na B Cu
1 3 1
Direct
0.500 0.500 0.500
0.000 0.500 0.000
0.000 0.000 0.500
0.500 0.000 0.000
0.000 0.000 0.000
```

- Which value of density does entry 12 give?
  3.34 g/cm³

- Among the records above, which one has the highest size of the total moment?
  number 3